Below is a relaxed structure of BaH9IO5, with properties calculated at the PBE level.

Raw total energy: -157.292 eV/cell
DOS at the Fermi energy: 0.000 states/eV/atom

Lattice parameters (Å, degrees): 6.2963 8.2448 8.1089 91.16 107.24 89.44
With the nearest neighbours (Å) after each atom.
Positions (direct):
H: 0.6342 0.7836 0.3165  1 O 0.99
H: 0.1439 0.3286 0.8068  1 O 1.01
H: 0.3570 0.7691 0.9757  1 O 0.98
I: 0.6744 0.0068 0.7842  5 H 2.55-2.79
O: 0.2924 0.3240 0.6686  2 H 0.99-1.03
H: 0.3658 0.2164 0.6835  1 O 0.99
O: 0.7076 0.6760 0.3314  2 H 0.99-1.03
I: 0.3256 0.9932 0.2158  5 H 2.55-2.79
H: 0.9592 0.8038 0.6669  1 O 0.98
H: 0.8192 0.3236 0.4438  1 O 1.03
O: 0.9414 0.6657 0.1055  2 H 0.99-1.01
O: 0.3351 0.6582 0.9264  2 H 0.98-1.02
H: 0.8025 0.3333 0.1786  1 O 1.02
O: 0.0147 0.3113 0.3536  1 H 0.98
O: 0.9853 0.6887 0.6464  1 H 0.98
H: 0.1808 0.6764 0.5562  1 O 1.03
H: 0.1975 0.6667 0.8214  1 O 1.02
O: 0.6871 0.3350 0.4935  2 H 0.98-1.03
O: 0.3129 0.6650 0.5065  2 H 0.98-1.03
H: 0.1828 0.3224 0.5457  1 O 1.03
H: 0.0076 0.7743 0.1100  1 O 0.99
H: 0.8561 0.6714 0.1932  1 O 1.01
H: 0.8172 0.6776 0.4543  1 O 1.03
H: 0.6430 0.2309 0.0243  1 O 0.98
H: 0.3331 0.7743 0.4672  1 O 0.98
Ba: 0.6750 0.5450 0.7815  8 O 2.79-2.94, 1 H 3.12
O: 0.6649 0.3418 0.0736  2 H 0.98-1.02
Ba: 0.3250 0.4550 0.2185  8 O 2.79-2.94, 1 H 3.12
O: 0.0586 0.3343 0.8945  2 H 0.99-1.01
H: 0.6669 0.2257 0.5328  1 O 0.98
H: 0.9924 0.2257 0.8900  1 O 0.99
H: 0.0408 0.1962 0.3331  1 O 0.98